Density functional theory data (PBE-GGA) for a relaxed LaHfPt crystal.

The size of the total moment is 0.000 μB/atom. Its energy relative to the lowest polymorph listed for this composition is 209.3 meV per atom. For the energy, the calculation gives -7.63 eV/atom. The space group is I4mm, No. 107. Its mass density is 11.43 g cm⁻³.

Unit cell a=3.471 b=3.471 c=12.352 alpha=90.00 beta=90.00 gamma=90.00
Atoms (fractional coordinates):
La 0.000 0.000 0.000
La 0.500 0.500 0.500
Hf 0.000 0.000 0.715
Hf 0.500 0.500 0.215
Pt 0.000 0.000 0.307
Pt 0.500 0.500 0.807